First-principles (PBE) data for crystalline LiCdH2Pd4 at its relaxed geometry, as listed in Alexandria via LeMat-Bulk.

Unit cell a=3.881 b=3.881 c=7.436 alpha=90.00 beta=90.00 gamma=90.00
Fractional coordinates of all 8 atoms:
Li  0.000  0.000  0.500
Cd  0.000  0.000  0.000
H  0.500  0.500  0.283
H  0.500  0.500  0.717
Pd  0.000  0.500  0.276
Pd  0.500  0.000  0.724
Pd  0.500  0.000  0.276
Pd  0.000  0.500  0.724

Space-group type: P4/mmm, No. 123
VASP energy in eV per atom: -3.931

=====

First-principles (PBE) data for crystalline NdY5Ho5 at its relaxed geometry, as listed in Alexandria via LeMat-Bulk.

Unit cell a=6.089 b=6.089 c=11.521 alpha=90.00 beta=90.00 gamma=120.00
Fractional coordinates of all 11 atoms:
Nd  0.333  0.667  0.000
Y  0.667  0.333  0.161
Y  0.667  0.333  0.839
Y  0.333  0.667  0.325
Y  0.333  0.667  0.675
Y  0.000  0.000  0.000
Ho  0.335  0.168  0.500
Ho  0.000  0.000  0.266
Ho  0.832  0.665  0.500
Ho  0.832  0.168  0.500
Ho  0.000  0.000  0.734

Space-group type: P-6m2, No. 187
DFT formation energy in eV/atom: 0.296
VASP energy in eV per atom: -5.156

=====

First-principles (PBE) data for crystalline LaMg3Sc at its relaxed geometry, as listed in Alexandria via LeMat-Bulk.

Unit cell a=5.386 b=5.386 c=5.386 alpha=90.00 beta=90.00 gamma=90.00
Fractional coordinates of all 5 atoms:
Sc  0.000  0.000  0.000
Mg  0.000  0.500  0.000
Mg  0.000  0.000  0.500
Mg  0.500  0.000  0.000
La  0.500  0.500  0.500

Space-group type: Pm-3m, No. 221
DFT formation energy in eV/atom: 0.522
VASP energy in eV per atom: -2.687

=====

First-principles (PBE) data for crystalline SrBiP2S at its relaxed geometry, as listed in Alexandria via LeMat-Bulk.

Unit cell a=5.242 b=5.242 c=5.371 alpha=90.00 beta=90.00 gamma=90.00
Fractional coordinates of all 5 atoms:
Sr  0.500  0.500  0.500
S  0.000  0.000  0.500
Bi  0.000  0.000  0.000
P  0.000  0.500  0.000
P  0.500  0.000  0.000

Space-group type: P4/mmm, No. 123
VASP energy in eV per atom: -3.968
Raw formation energy in meV/atom: 134

=====

Sequential V output: 112.01 369.88 156.28 147.59 Å³/cell
Sequential magnetic moment output: 0.00 0.00 0.00 0.00 μB/f.u.
Sequential D(E_F) output: 3.27 20.58 5.19 5.39 states/eV per cell